Entry from the Alexandria database: a relaxed Si3ICl12 crystal (PBE).

```
Si3ICl12
1.0
-4.111 1.070 10.646
-1.328 -9.283 6.590
9.519 -1.352 9.982
Cl I Si
24 2 6
Cartesian
-0.757 -6.886 6.307
6.419 -8.621 19.880
-0.293 -0.464 13.503
-0.562 -0.059 5.608
2.482 -8.576 17.754
2.122 -6.617 9.056
6.424 -2.360 13.657
0.923 -8.719 21.970
-2.661 -0.409 9.281
2.108 -5.902 15.821
2.436 -2.340 13.780
-0.051 -0.677 2.385
1.929 -8.946 14.497
5.639 -4.534 20.631
-0.501 -7.852 16.476
4.872 -7.418 23.626
1.244 -4.780 19.823
0.379 -1.997 16.370
5.226 -3.965 17.387
3.546 -5.865 11.962
-1.275 -3.347 8.592
6.676 -6.530 14.346
0.366 -4.322 4.520
3.063 -3.496 9.680
-0.581 -5.103 12.629
6.898 -1.672 9.002
-3.027 -2.389 8.980
1.193 -1.057 14.758
-0.943 -5.878 4.547
-1.371 0.067 3.746
1.504 -7.820 16.139
3.522 -5.458 9.967
```

Raw formation energy   -1.091 eV per atom
Space group   R3c



Entry from the Alexandria database: a relaxed Sm8Si3I4Cl crystal (PBE).

```
Sm8Si3I4Cl
1.0
8.510 0.000 0.000
0.000 9.019 0.358
-4.255 -4.254 6.018
Si Sm I Cl
3 8 4 1
Cartesian
-2.128 2.383 3.188
4.255 4.510 0.179
2.128 2.383 3.188
0.000 0.468 3.339
-2.050 2.186 6.002
6.305 2.580 0.374
0.000 4.235 3.102
2.205 2.580 0.374
4.255 4.297 3.037
2.050 2.186 6.002
4.255 0.530 3.274
2.128 -2.127 3.009
-2.128 -2.127 3.009
4.255 0.000 0.000
0.000 0.000 0.000
0.000 4.510 0.179
```

Raw formation energy   -0.983 eV per atom
Space group   R-3m



Entry from the Alexandria database: a relaxed Sr4SiI2Cl crystal (PBE).

```
Sr4SiI2Cl
1.0
4.653 0.000 0.000
0.000 7.826 0.096
0.000 -2.777 7.898
Sr Si I Cl
4 1 2 1
Cartesian
2.327 1.405 1.691
0.000 -0.026 6.314
0.000 5.075 1.680
2.327 3.643 6.303
2.327 3.913 0.048
0.000 2.524 3.997
2.327 -1.389 3.949
0.000 0.000 0.000
```

Raw formation energy   -1.197 eV per atom
Space group   P2/m



Entry from the Alexandria database: a relaxed SiTeI2Cl crystal (PBE).

```
SiTeI2Cl
1.0
5.429 0.000 0.000
0.000 5.429 0.000
0.000 0.000 5.415
I Te Si Cl
2 1 1 1
Cartesian
0.000 2.714 0.000
2.714 0.000 0.000
0.000 0.000 2.707
0.000 0.000 0.000
2.714 2.714 2.707
```

Raw formation energy   0.318 eV per atom
Distance to the lowest polymorph of the same formula   0 meV/atom
Space group   P4/mmm



Entry from the Alexandria database: a relaxed SmI3Cl crystal (PBE).

```
SmI3Cl
1.0
8.641 0.080 -0.982
-4.172 7.567 0.982
-5.037 -2.185 6.744
Cl I Sm
2 6 2
Cartesian
-0.240 0.496 4.982
-0.019 5.496 1.762
-4.140 5.312 2.348
-4.772 0.552 5.397
-1.995 1.451 2.225
1.675 4.436 4.519
-2.550 4.383 5.378
2.255 1.575 1.347
-1.925 4.016 0.522
-0.594 -1.891 6.223
```

Raw formation energy   -1.224 eV per atom
Space group   Ima2



Entry from the Alexandria database: a relaxed SmI2Cl8 crystal (PBE).

```
SmI2Cl8
1.0
-2.906 6.274 -0.801
-6.181 -4.071 -3.923
-6.914 -3.505 3.175
I Sm Cl
2 1 8
Cartesian
-4.251 1.146 -0.530
-11.750 -2.448 -1.018
0.000 0.000 0.000
-8.140 -3.165 -2.334
-8.494 -2.890 1.100
-4.116 3.749 -0.724
-11.884 -5.051 -0.824
-4.670 -1.175 -0.388
-7.506 1.588 -2.648
-7.861 1.863 0.786
-11.330 -0.127 -1.160
```

Raw formation energy   -0.729 eV per atom
Space group   C2/m



Entry from the Alexandria database: a relaxed Sm2ICl crystal (PBE).

```
Sm2ICl
1.0
-2.152 0.171 -3.019
-2.555 -2.622 -0.609
-7.815 4.169 3.525
Sm Cl I
2 1 1
Cartesian
-6.133 2.826 2.250
-3.253 0.527 0.067
-6.253 0.852 -0.058
-3.144 -1.630 -2.414
```

Raw formation energy   -1.028 eV per atom
Distance to the lowest polymorph of the same formula   0 meV/atom
Space group   R3m



Entry from the Alexandria database: a relaxed SmICl2 crystal (PBE).

```
SmICl2
1.0
6.926 -0.155 -2.392
-3.294 6.095 -2.392
-0.038 -0.062 7.827
Sm Cl I
2 4 2
Cartesian
-0.622 2.588 1.959
2.568 0.595 5.872
0.853 1.416 3.926
4.553 0.370 -0.090
-1.764 4.190 3.824
0.891 1.436 0.012
4.145 3.299 -2.496
1.029 5.162 1.417
```

Raw formation energy   -1.961 eV per atom
Distance to the lowest polymorph of the same formula   0 meV/atom
Space group   Cc



Entry from the Alexandria database: a relaxed SmICl2 crystal (PBE).

```
SmICl2
1.0
4.145 0.000 -0.123
0.000 6.166 0.000
-1.527 -3.083 6.438
Cl Sm I
2 1 1
Cartesian
0.053 3.083 1.776
2.565 0.000 4.539
2.073 3.083 -0.061
2.073 0.000 -0.061
```

Raw formation energy   -1.921 eV per atom
Distance to the lowest polymorph of the same formula   40 meV/atom
Space group   C2/m



Entry from the Alexandria database: a relaxed Sm2ICl crystal (PBE).

```
Sm2ICl
1.0
-2.249 3.884 -1.746
-4.680 -0.225 -1.114
-4.192 3.479 6.497
I Cl Sm
1 1 2
Cartesian
-5.560 3.569 1.819
0.000 0.000 0.000
-3.553 2.712 3.967
-7.568 4.426 -0.329
```

Raw formation energy   -0.705 eV per atom
Distance to the lowest polymorph of the same formula   323 meV/atom
Space group   R-3m



Entry from the Alexandria database: a relaxed SnI3Cl crystal (PBE).

```
SnI3Cl
1.0
-0.038 5.838 1.181
-5.955 -0.050 0.057
0.065 -1.180 5.837
I Sn Cl
3 1 1
Cartesian
-2.978 -0.025 0.028
-0.019 2.919 0.590
0.033 -0.590 2.919
0.000 0.000 0.000
-2.964 2.303 3.537
```

Raw formation energy   0.039 eV per atom
Distance to the lowest polymorph of the same formula   538 meV/atom
Space group   Pm-3m



Entry from the Alexandria database: a relaxed SnICl2 crystal (PBE).

```
SnICl2
1.0
-5.700 -0.102 10.940
-7.129 -3.470 9.452
-3.626 -3.446 11.277
Cl Sn I
2 1 1
Cartesian
-1.972 -0.841 3.796
-14.482 -6.177 27.873
-8.227 -3.509 15.834
0.000 0.000 0.000
```

Raw formation energy   -0.517 eV per atom
Distance to the lowest polymorph of the same formula   0 meV/atom
Space group   R-3m



| no. | E (eV/atom) |
| --- | --- |
| 1 | -3.590 |
| 2 | -4.862 |
| 3 | -3.334 |
| 4 | -2.384 |
| 5 | -3.467 |
| 6 | -2.783 |
| 7 | -4.237 |
| 8 | -4.451 |
| 9 | -4.411 |
| 10 | -3.914 |
| 11 | -2.061 |
| 12 | -2.828 |